A crystal of Re3AsW relaxed with PBEsol, computed with meta-GGA SCAN.

Structure (POSCAR):
```
Re3AsW
1.0
4.420 0.000 0.000
0.000 4.420 0.000
0.000 0.000 4.420
Re As W
3 1 1
Direct
0.000 0.000 0.500 Re
0.000 0.500 0.000 Re
0.500 0.000 0.000 Re
0.000 0.000 0.000 As
0.500 0.500 0.500 W
```

## Properties
**ρ**: 15.72 g/cm³
**Energy of formation**: 1.829 eV per atom